DFT (PBE) results for crystalline Na3BeCd at its relaxed geometry.

Summary:
**Calculated volume**: 157.80 Å³/f.u.
**Space-group type**: Pm-3m, No. 221
**Calculated density**: 2.00 g cm⁻³
**Excess energy over the best structure of this formula in the dataset**: 0 meV/atom
**E**: -1.185 eV/atom
**Energy of formation from the pure elements**: 0.53 eV/atom
**Size of the total moment**: 0.000 μB/cell

```
Na3BeCd
1.0
5.404 0.000 0.000
0.000 5.404 0.000
0.000 0.000 5.404
Na Be Cd
3 1 1
Direct
0.000 0.000 0.500 Na
0.000 0.500 0.000 Na
0.500 0.000 0.000 Na
0.000 0.000 0.000 Be
0.500 0.500 0.500 Cd
```

DFT (PBE) results for crystalline Na2Be2CdO4 at its relaxed geometry.

Summary:
**Calculated volume**: 106.48 Å³/f.u.
**Space-group type**: C2/m, No. 12
**Calculated density**: 3.75 g cm⁻³
**E**: -5.252 eV/atom
**Size of the total moment**: 0.000 μB/cell

```
Na2Be2CdO4
1.0
5.906 -1.500 0.000
5.906 1.500 0.000
-3.540 0.000 6.008
Na Be Cd O
2 2 1 4
Direct
0.121 0.121 0.196 Na
0.879 0.879 0.804 Na
0.328 0.328 0.117 Be
0.672 0.672 0.883 Be
0.000 0.000 0.500 Cd
0.234 0.234 0.839 O
0.484 0.484 0.239 O
0.516 0.516 0.761 O
0.766 0.766 0.161 O
```

DFT (PBE) results for crystalline NaBeCdOs2 at its relaxed geometry.

Summary:
**Calculated volume**: 97.68 Å³/f.u.
**Space-group type**: P4/mmm, No. 123
**Calculated density**: 8.92 g cm⁻³
**E**: -2.979 eV/atom
**Energy of formation from the pure elements**: 2.70 eV/atom
**Size of the total moment**: 2.873 μB/cell

```
NaBeCdOs2
1.0
4.611 0.000 0.000
0.000 4.611 0.000
0.000 0.000 4.595
Na Be Cd Os
1 1 1 2
Direct
0.000 0.000 0.000 Na
0.500 0.500 0.500 Be
0.000 0.000 0.500 Cd
0.000 0.500 0.000 Os
0.500 0.000 0.000 Os
```

DFT (PBE) results for crystalline Na2BeCdP2 at its relaxed geometry.

Summary:
**Calculated volume**: 114.93 Å³/f.u.
**Space-group type**: Ibam, No. 72
**Calculated density**: 3.31 g cm⁻³
**E**: -3.332 eV/atom
**Energy of formation from the pure elements**: -0.32 eV/atom
**Size of the total moment**: 0.000 μB/cell

```
Na2BeCdP2
1.0
-2.919 6.830 2.882
2.919 -6.830 2.882
2.919 6.830 -2.882
Na Be Cd P
4 2 2 4
Direct
0.181 0.242 0.424 Na
0.319 0.742 0.061 Na
0.681 0.258 0.939 Na
0.819 0.758 0.576 Na
0.250 0.750 0.500 Be
0.750 0.250 0.500 Be
0.250 0.250 0.000 Cd
0.750 0.750 0.000 Cd
0.103 0.700 0.803 P
0.397 0.200 0.596 P
0.603 0.800 0.404 P
0.897 0.300 0.197 P
```

DFT (PBE) results for crystalline Na2BeZnCd at its relaxed geometry.

Summary:
**Calculated volume**: 132.03 Å³/f.u.
**Space-group type**: P4/mmm, No. 123
**Calculated density**: 2.93 g cm⁻³
**E**: -1.289 eV/atom
**Energy of formation from the pure elements**: 0.42 eV/atom
**Size of the total moment**: 0.000 μB/cell

```
Na2BeZnCd
1.0
5.542 0.000 0.000
0.000 5.542 0.000
0.000 0.000 4.299
Na Be Zn Cd
2 1 1 1
Direct
0.000 0.500 0.000 Na
0.500 0.000 0.000 Na
0.000 0.000 0.500 Be
0.000 0.000 0.000 Zn
0.500 0.500 0.500 Cd
```

DFT (PBE) results for crystalline Be2Nb2Cd at its relaxed geometry.

Summary:
**Calculated volume**: 72.38 Å³/f.u.
**Space-group type**: P4/mbm, No. 127
**Calculated density**: 7.26 g cm⁻³
**E**: -5.697 eV/atom
**Energy of formation from the pure elements**: 0.00 eV/atom
**Size of the total moment**: 0.000 μB/cell

```
Be2Nb2Cd
1.0
6.378 0.000 0.000
0.000 6.378 0.000
0.000 0.000 3.559
Be Nb Cd
4 4 2
Direct
0.116 0.384 0.000 Be
0.384 0.884 0.000 Be
0.616 0.116 0.000 Be
0.884 0.616 0.000 Be
0.173 0.673 0.500 Nb
0.327 0.173 0.500 Nb
0.673 0.827 0.500 Nb
0.827 0.327 0.500 Nb
0.000 0.000 0.000 Cd
0.500 0.500 0.000 Cd
```